Density functional theory data (GGA-PBE) for PrSm6Er2Th after structural relaxation.

Cell lengths 9.3929, 14.9810, 9.6522 Å; angles 90.00, 97.03, 90.00 degrees
With the nearest neighbours (Å) after each atom.
Space group C2/c (No. 15)
One atom of each set of equivalent atoms:
Pr 0.0000 0.0951 0.2500 x4  6 Sm 3.47-3.56, 2 Er 3.58
Sm 0.0649 0.3269 0.4406 x8  7 Sm 3.46-3.84, 2 Er 3.47-3.80, 2 Th 3.61-3.76
Sm 0.0938 0.1093 0.6175 x8  3 Sm 3.27-3.46, 3 Er 3.33-3.49, 2 Pr 3.47-3.56
Sm 0.2030 0.2790 0.8165 x8  2 Sm 3.27-3.65, 1 Th 3.41, 1 Er 3.45, 1 Pr 3.49
Er 0.2443 0.4533 0.0524 x8  6 Sm 3.33-3.72, 2 Th 3.38-3.49, 1 Pr 3.58
Th 0.0000 0.4668 0.7500 x4  4 Er 3.38-3.49, 6 Sm 3.41-3.76

Calculated values
Crystal system ... monoclinic
Formation enthalpy at 0 K ... 0.145 eV per atom

***

Density functional theory data (GGA-PBE) for Ce3GaTe6 after structural relaxation.

Cell lengths 12.3466, 15.1738, 7.4501 Å; angles 90.00, 90.00, 90.00 degrees
With the nearest neighbours (Å) after each atom.
Space group Cmc2_1 (No. 36)
One atom of each set of equivalent atoms:
Ce 0.0000 0.0988 0.0000 x4  7 Te 3.16-3.42
Ce 0.1783 0.4030 0.1024 x8  7 Te 3.13-3.33
Ga 0.0000 0.2955 0.6416 x4  4 Te 2.68-2.74
Te 0.0000 0.2771 0.2810 x4  1 Ga 2.70
Te 0.0000 0.4610 0.7877 x4  1 Ga 2.74
Te 0.1625 0.0351 0.3002 x8  4 Ce 3.13-3.22
Te 0.1721 0.2336 0.8221 x8  1 Ga 2.68

Calculated values
Raw formation energy ... -1.08 eV per atom
Crystal system ... orthorhombic